A relaxed Pm3Ga6Cu5 crystal, computed with PBE.

## Properties
As for the crystal system: orthorhombic.

Unit cell a=4.3624 b=13.0993 c=8.7946 alpha=90.00 beta=90.00 gamma=90.00
Space group Pmmn (No. 59, origin choice 2)
Symmetry-distinct sites (fractional):
Pm  0.2500  0.0436  0.2483
Pm  0.2500  0.7500  0.2410
Ga  0.2500  0.0909  0.8916
Ga  0.2500  0.2500  0.0736
Ga  0.2500  0.2500  0.4411
Ga  0.2500  0.6046  0.5296
Cu  0.2500  0.0954  0.6110
Cu  0.2500  0.6138  0.9653
Cu  0.2500  0.7500  0.7442

***

A relaxed Pm3Ga3Cu crystal, computed with PBE.

## Properties
As for the crystal system: monoclinic.

Unit cell a=10.7727 b=4.4594 c=14.7371 alpha=90.00 beta=111.35 gamma=90.00
Space group C2/m (No. 12)
Symmetry-distinct sites (fractional):
Pm  0.0497  0.0000  0.3856
Pm  0.1025  0.0000  0.9228
Pm  0.2485  0.5000  0.7693
Ga  0.0431  0.5000  0.2330
Ga  0.1103  0.5000  0.0767
Ga  0.1324  0.5000  0.5432
Cu  0.2472  0.0000  0.6061

***

Let's list VASP energy in order: -4.200; -4.457 eV per atom.